# Th3H3Pb (PBE, optimized geometry)
data_Th3H3Pb
_chemical_formula_sum 'Th6 H6 Pb2'
_cell_length_a 8.2556
_cell_length_b 8.2556
_cell_length_c 8.2556
_cell_angle_alpha 50.00
_cell_angle_beta 50.00
_cell_angle_gamma 50.00
_symmetry_space_group_name_H-M 'P 1'
_symmetry_Int_Tables_number 1
loop_
_symmetry_equiv_pos_as_xyz
'x,y,z'
loop_
_atom_site_label
_atom_site_type_symbol
_atom_site_fract_x
_atom_site_fract_y
_atom_site_fract_z
Th1 Th 0.1003 0.7824 0.4093
Th2 Th 0.2176 0.5907 0.8997
Th3 Th 0.4093 0.1003 0.7824
Th4 Th 0.5907 0.8996 0.2176
Th5 Th 0.7824 0.4093 0.1003
Th6 Th 0.8996 0.2176 0.5907
H1 H 0.1265 0.4736 0.7837
H2 H 0.2163 0.8735 0.5264
H3 H 0.4736 0.7837 0.1265
H4 H 0.5264 0.2163 0.8735
H5 H 0.7837 0.1265 0.4736
H6 H 0.8735 0.5264 0.2163
Pb1 Pb 0.3327 0.3327 0.3327
Pb2 Pb 0.6673 0.6673 0.6673
# ΔE to the lowest computed polymorph   103.6 meV/atom
# Space-group type   R-3

---

# Sc2MnTc2 (PBE, optimized geometry)
data_Sc2MnTc2
_chemical_formula_sum 'Sc4 Mn2 Tc4'
_cell_length_a 3.4944
_cell_length_b 3.4944
_cell_length_c 15.8839
_cell_angle_alpha 90.00
_cell_angle_beta 90.00
_cell_angle_gamma 90.00
_symmetry_space_group_name_H-M 'P 1'
_symmetry_Int_Tables_number 1
loop_
_symmetry_equiv_pos_as_xyz
'x,y,z'
loop_
_atom_site_label
_atom_site_type_symbol
_atom_site_fract_x
_atom_site_fract_y
_atom_site_fract_z
Sc1 Sc 0.0000 0.0000 0.1018
Sc2 Sc 0.0000 0.0000 0.8982
Sc3 Sc 0.5000 0.5000 0.3982
Sc4 Sc 0.5000 0.5000 0.6018
Mn1 Mn 0.0000 0.0000 0.5000
Mn2 Mn 0.5000 0.5000 0.0000
Tc1 Tc 0.0000 0.5000 0.2500
Tc2 Tc 0.0000 0.5000 0.7500
Tc3 Tc 0.5000 0.0000 0.2500
Tc4 Tc 0.5000 0.0000 0.7500
# ΔE to the lowest computed polymorph   338.0 meV/atom
# Space-group type   I4/mmm
# Energy relative to the elements   332.2 meV/atom

---

# NdGa4Rh (PBE, optimized geometry)
data_NdGa4Rh
_chemical_formula_sum 'Nd2 Ga8 Rh2'
_cell_length_a 6.3765
_cell_length_b 6.3765
_cell_length_c 7.0224
_cell_angle_alpha 90.00
_cell_angle_beta 90.00
_cell_angle_gamma 90.00
_symmetry_space_group_name_H-M 'P 1'
_symmetry_Int_Tables_number 1
loop_
_symmetry_equiv_pos_as_xyz
'x,y,z'
loop_
_atom_site_label
_atom_site_type_symbol
_atom_site_fract_x
_atom_site_fract_y
_atom_site_fract_z
Nd1 Nd 0.0000 0.5000 0.0000
Nd2 Nd 0.5000 0.0000 0.0000
Ga1 Ga 0.0000 0.0000 0.1627
Ga2 Ga 0.0000 0.0000 0.8373
Ga3 Ga 0.1512 0.3488 0.5000
Ga4 Ga 0.3488 0.8488 0.5000
Ga5 Ga 0.5000 0.5000 0.1627
Ga6 Ga 0.5000 0.5000 0.8373
Ga7 Ga 0.6512 0.1512 0.5000
Ga8 Ga 0.8488 0.6512 0.5000
Rh1 Rh 0.0000 0.0000 0.5000
Rh2 Rh 0.5000 0.5000 0.5000
# Space-group type   P4/mbm
# Energy relative to the elements   -153.7 meV/atom

---

# CaPmAg4 (PBE, optimized geometry)
data_CaPmAg4
_chemical_formula_sum 'Ca1 Pm1 Ag4'
_cell_length_a 5.7733
_cell_length_b 5.7733
_cell_length_c 5.7733
_cell_angle_alpha 60.00
_cell_angle_beta 60.00
_cell_angle_gamma 60.00
_symmetry_space_group_name_H-M 'P 1'
_symmetry_Int_Tables_number 1
loop_
_symmetry_equiv_pos_as_xyz
'x,y,z'
loop_
_atom_site_label
_atom_site_type_symbol
_atom_site_fract_x
_atom_site_fract_y
_atom_site_fract_z
Ca1 Ca 0.0000 0.0000 0.0000
Pm1 Pm 0.7500 0.7500 0.7500
Ag1 Ag 0.3745 0.3745 0.3745
Ag2 Ag 0.3745 0.3745 0.8765
Ag3 Ag 0.3745 0.8765 0.3745
Ag4 Ag 0.8765 0.3745 0.3745
# ΔE to the lowest computed polymorph   71.2 meV/atom
# Space-group type   F-43m
# Energy relative to the elements   -199.0 meV/atom

---

# K2CaSmF6 (PBE, optimized geometry)
data_K2CaSmF6
_chemical_formula_sum 'K2 Ca1 Sm1 F6'
_cell_length_a 6.2497
_cell_length_b 6.4399
_cell_length_c 6.4792
_cell_angle_alpha 62.96
_cell_angle_beta 61.25
_cell_angle_gamma 61.20
_symmetry_space_group_name_H-M 'P 1'
_symmetry_Int_Tables_number 1
loop_
_symmetry_equiv_pos_as_xyz
'x,y,z'
loop_
_atom_site_label
_atom_site_type_symbol
_atom_site_fract_x
_atom_site_fract_y
_atom_site_fract_z
K1 K 0.2236 0.2630 0.3007
K2 K 0.7764 0.7370 0.6993
Ca1 Ca 0.5000 0.5000 0.5000
Sm1 Sm 0.0000 0.0000 0.0000
F1 F 0.1949 0.3062 0.7402
F2 F 0.2396 0.7019 0.2616
F3 F 0.2644 0.8027 0.7013
F4 F 0.7356 0.1973 0.2987
F5 F 0.7604 0.2981 0.7384
F6 F 0.8051 0.6938 0.2598
# Space-group type   P-1
# Formation energy without anion corrections   -3.28 eV/atom

---

# Ce2PuZn (PBE, optimized geometry)
data_Ce2PuZn
_chemical_formula_sum 'Ce2 Pu1 Zn1'
_cell_length_a 3.6717
_cell_length_b 3.6717
_cell_length_c 7.3103
_cell_angle_alpha 90.00
_cell_angle_beta 90.00
_cell_angle_gamma 90.00
_symmetry_space_group_name_H-M 'P 1'
_symmetry_Int_Tables_number 1
loop_
_symmetry_equiv_pos_as_xyz
'x,y,z'
loop_
_atom_site_label
_atom_site_type_symbol
_atom_site_fract_x
_atom_site_fract_y
_atom_site_fract_z
Ce1 Ce 0.0000 0.0000 0.2400
Ce2 Ce 0.0000 0.0000 0.7600
Pu1 Pu 0.5000 0.5000 0.5000
Zn1 Zn 0.5000 0.5000 0.0000
# ΔE to the lowest computed polymorph   45.6 meV/atom
# Space-group type   P4/mmm
# Energy relative to the elements   -22.0 meV/atom

---

# TeIrI2O (PBE, optimized geometry)
data_TeIrI2O
_chemical_formula_sum 'Te1 Ir1 I2 O1'
_cell_length_a 5.0742
_cell_length_b 5.0742
_cell_length_c 4.4850
_cell_angle_alpha 90.00
_cell_angle_beta 90.00
_cell_angle_gamma 90.00
_symmetry_space_group_name_H-M 'P 1'
_symmetry_Int_Tables_number 1
loop_
_symmetry_equiv_pos_as_xyz
'x,y,z'
loop_
_atom_site_label
_atom_site_type_symbol
_atom_site_fract_x
_atom_site_fract_y
_atom_site_fract_z
Te1 Te 0.0000 0.0000 0.0000
Ir1 Ir 0.5000 0.5000 0.0000
I1 I 0.0000 0.5000 0.5000
I2 I 0.5000 0.0000 0.5000
O1 O 0.0000 0.0000 0.5000
# ΔE to the lowest computed polymorph   1007.8 meV/atom
# Space-group type   P4/mmm
# Formation energy without anion corrections   1.14 eV/atom

---

# CeThZnRh (PBE, optimized geometry)
data_CeThZnRh
_chemical_formula_sum 'Ce4 Th4 Zn4 Rh4'
_cell_length_a 7.1606
_cell_length_b 7.1606
_cell_length_c 7.1606
_cell_angle_alpha 90.00
_cell_angle_beta 90.00
_cell_angle_gamma 90.00
_symmetry_space_group_name_H-M 'P 1'
_symmetry_Int_Tables_number 1
loop_
_symmetry_equiv_pos_as_xyz
'x,y,z'
loop_
_atom_site_label
_atom_site_type_symbol
_atom_site_fract_x
_atom_site_fract_y
_atom_site_fract_z
Ce1 Ce 0.0000 0.0000 0.0000
Ce2 Ce 0.0000 0.5000 0.5000
Ce3 Ce 0.5000 0.0000 0.5000
Ce4 Ce 0.5000 0.5000 0.0000
Th1 Th 0.0000 0.0000 0.5000
Th2 Th 0.0000 0.5000 0.0000
Th3 Th 0.5000 0.0000 0.0000
Th4 Th 0.5000 0.5000 0.5000
Zn1 Zn 0.2500 0.2500 0.7500
Zn2 Zn 0.2500 0.7500 0.2500
Zn3 Zn 0.7500 0.2500 0.2500
Zn4 Zn 0.7500 0.7500 0.7500
Rh1 Rh 0.2500 0.2500 0.2500
Rh2 Rh 0.2500 0.7500 0.7500
Rh3 Rh 0.7500 0.2500 0.7500
Rh4 Rh 0.7500 0.7500 0.2500
# Space-group type   F-43m
# Energy relative to the elements   -396.0 meV/atom

---

# Pr2NdCu3 (PBE, optimized geometry)
data_Pr2NdCu3
_chemical_formula_sum 'Pr4 Nd2 Cu6'
_cell_length_a 8.0495
_cell_length_b 8.0495
_cell_length_c 7.2903
_cell_angle_alpha 90.00
_cell_angle_beta 90.00
_cell_angle_gamma 143.10
_symmetry_space_group_name_H-M 'P 1'
_symmetry_Int_Tables_number 1
loop_
_symmetry_equiv_pos_as_xyz
'x,y,z'
loop_
_atom_site_label
_atom_site_type_symbol
_atom_site_fract_x
_atom_site_fract_y
_atom_site_fract_z
Pr1 Pr 0.0000 0.0000 0.0000
Pr2 Pr 0.0000 0.0000 0.5000
Pr3 Pr 0.3334 0.6666 0.0000
Pr4 Pr 0.6666 0.3334 0.0000
Nd1 Nd 0.3331 0.6669 0.5000
Nd2 Nd 0.6669 0.3331 0.5000
Cu1 Cu 0.1674 0.8326 0.2548
Cu2 Cu 0.1674 0.8326 0.7452
Cu3 Cu 0.5000 0.5000 0.2537
Cu4 Cu 0.5000 0.5000 0.7462
Cu5 Cu 0.8326 0.1674 0.2548
Cu6 Cu 0.8326 0.1674 0.7452
# ΔE to the lowest computed polymorph   5.1 meV/atom
# Space-group type   Cmmm
# Energy relative to the elements   -122.8 meV/atom

---

# MgIn2FeBr (PBE, optimized geometry)
data_MgIn2FeBr
_chemical_formula_sum 'Mg1 In2 Fe1 Br1'
_cell_length_a 5.6017
_cell_length_b 5.6017
_cell_length_c 5.1423
_cell_angle_alpha 90.00
_cell_angle_beta 90.00
_cell_angle_gamma 90.00
_symmetry_space_group_name_H-M 'P 1'
_symmetry_Int_Tables_number 1
loop_
_symmetry_equiv_pos_as_xyz
'x,y,z'
loop_
_atom_site_label
_atom_site_type_symbol
_atom_site_fract_x
_atom_site_fract_y
_atom_site_fract_z
Mg1 Mg 0.0000 0.0000 0.0000
In1 In 0.0000 0.5000 0.0000
In2 In 0.5000 0.0000 0.0000
Fe1 Fe 0.5000 0.5000 0.5000
Br1 Br 0.0000 0.0000 0.5000
# Space-group type   P4/mmm
# Formation energy without anion corrections   0.70 eV/atom